# 1
An optimized crystal structure of HfInSiP2, computed with GGA-PBEsol.

Unit cell a=4.8336 b=4.8324 c=4.8324 alpha=90.00 beta=90.00 gamma=90.00
Atoms (fractional coordinates):
P 0.0000 0.0000 0.5000
P 0.0000 0.5000 0.0000
Si 0.5000 0.0000 0.0000
Hf 0.5000 0.5000 0.5000
In 0.0000 0.0000 0.0000

Output
DFT total energy ... -24.75 eV for the cell shown
ΔE_f (raw) ... 1.2140 eV/atom


# 2
An optimized crystal structure of HfInPt2Pb, computed with GGA-PBEsol.

Unit cell a=4.9848 b=4.9848 c=5.2759 alpha=90.00 beta=90.00 gamma=90.00
Atoms (fractional coordinates):
Pb 0.0000 0.0000 0.0000
Hf 0.0000 0.0000 0.5000
Pt 0.0000 0.5000 0.0000
Pt 0.5000 0.0000 0.0000
In 0.5000 0.5000 0.5000

Output
Formation energy from the elements ... 1.120 eV/atom
DFT total energy ... -25.81 eV for the cell shown


# 3
An optimized crystal structure of HfInPd2, computed with GGA-PBEsol.

Unit cell a=3.3468 b=3.3468 c=6.2936 alpha=90.00 beta=90.00 gamma=90.00
Atoms (fractional coordinates):
Hf 0.0000 0.0000 0.0000
Pd 0.5000 0.5000 0.2291
Pd 0.5000 0.5000 0.7709
In 0.0000 0.0000 0.5000

Output
Formation energy from the elements ... -0.663 eV/atom
DFT total energy ... -28.06 eV for the cell shown


# 4
An optimized crystal structure of Hf2InPd2, computed with GGA-PBEsol.

Unit cell a=3.3323 b=7.4341 c=7.4341 alpha=90.00 beta=90.00 gamma=90.00
Atoms (fractional coordinates):
Hf 0.5000 0.1674 0.6674
Hf 0.5000 0.6674 0.8326
Hf 0.5000 0.8326 0.3326
Hf 0.5000 0.3326 0.1674
Pd 0.0000 0.3708 0.8708
Pd 0.0000 0.8708 0.6292
Pd 0.0000 0.6292 0.1292
Pd 0.0000 0.1292 0.3708
In 0.0000 0.0000 0.0000
In 0.0000 0.5000 0.5000

Output
Formation energy from the elements ... -0.674 eV/atom
DFT total energy ... -78.56 eV for the cell shown


# 5
An optimized crystal structure of Hf2InPd2, computed with GGA-PBEsol.

Unit cell a=6.7173 b=7.3883 c=7.3883 alpha=90.00 beta=90.00 gamma=90.00
Atoms (fractional coordinates):
Hf 0.0000 0.1518 0.1518
Hf 0.0000 0.8482 0.8482
Hf 0.5000 0.6518 0.3482
Hf 0.5000 0.3482 0.6518
Hf 0.0000 0.6852 0.3148
Hf 0.0000 0.3148 0.6852
Hf 0.5000 0.8148 0.8148
Hf 0.5000 0.1852 0.1852
In 0.2500 0.5000 0.0000
In 0.7500 0.5000 0.0000
In 0.2500 0.0000 0.5000
In 0.7500 0.0000 0.5000
Pd 0.2174 0.3705 0.3705
Pd 0.7826 0.6295 0.6295
Pd 0.2174 0.6295 0.6295
Pd 0.7174 0.8705 0.1295
Pd 0.2826 0.8705 0.1295
Pd 0.7826 0.3705 0.3705
Pd 0.2826 0.1295 0.8705
Pd 0.7174 0.1295 0.8705

Output
Formation energy from the elements ... -0.686 eV/atom
DFT total energy ... -157.34 eV for the cell shown


# 6
An optimized crystal structure of Hf2InPd2, computed with GGA-PBEsol.

Unit cell a=4.4667 b=4.4667 c=6.1157 alpha=111.42 beta=111.42 gamma=90.00
Atoms (fractional coordinates):
Hf 0.2500 0.7500 0.5000
Hf 0.7500 0.2500 0.5000
Pd 0.3812 0.3812 0.7624
Pd 0.6188 0.6188 0.2376
In 0.0000 0.0000 0.0000

Output
Formation energy from the elements ... -0.290 eV/atom
DFT total energy ... -37.36 eV for the cell shown